Model A:
Density functional theory data (PBEsol) for crystalline Be2Pt at its relaxed geometry.

Magnetic moment, μB/cell: 0.00
SG: P6/mmm, No. 191

Cell: 3.7090 3.7090 2.6026 Å, 90.00 90.00 120.00°
Fractional positions:
Be 0.3333 0.6667 0.0000
Be 0.6667 0.3333 0.0000
Pt 0.0000 0.0000 0.5000

Model B:
Density functional theory data (PBEsol) for crystalline Be2Pt at its relaxed geometry.

Magnetic moment, μB/cell: 0.00
SG: Pnma, No. 62

Cell: 4.5100 3.7559 7.2786 Å, 90.00 90.00 90.00°
Fractional positions:
Be 0.1385 0.2500 0.0289
Be 0.1868 0.2500 0.6938
Be 0.3132 0.7500 0.1938
Be 0.3615 0.7500 0.5289
Be 0.6385 0.2500 0.4711
Be 0.6868 0.2500 0.8062
Be 0.8132 0.7500 0.3062
Be 0.8615 0.7500 0.9711
Pt 0.1420 0.2500 0.3687
Pt 0.3580 0.7500 0.8687
Pt 0.6420 0.2500 0.1313
Pt 0.8580 0.7500 0.6313

Tell me which of them is the most stable. Sure, it is model B.

Model A:
Density functional theory data (PBEsol) for crystalline RuPt2Rh at its relaxed geometry.

Magnetic moment, μB/cell: 0.00
SG: P4mm, No. 99

Cell: 2.6980 2.6980 7.7714 Å, 90.00 90.00 90.00°
Fractional positions:
Ru 0.0000 0.0000 0.0000
Pt 0.0000 0.0000 0.5146
Pt 0.5000 0.5000 0.2478
Rh 0.5000 0.5000 0.7716

Model B:
Density functional theory data (PBEsol) for crystalline RuPt2Rh at its relaxed geometry.

Magnetic moment, μB/cell: 0.00
SG: R-3m, No. 166

Cell: 2.7223 2.7223 26.4621 Å, 90.00 90.00 120.00°
Fractional positions:
Ru 0.0000 0.0000 0.0000
Ru 0.3333 0.6667 0.6667
Ru 0.6667 0.3333 0.3333
Pt 0.0000 0.0000 0.2510
Pt 0.0000 0.0000 0.7490
Pt 0.3333 0.6667 0.4157
Pt 0.3333 0.6667 0.9177
Pt 0.6667 0.3333 0.0823
Pt 0.6667 0.3333 0.5843
Rh 0.0000 0.0000 0.5000
Rh 0.3333 0.6667 0.1667
Rh 0.6667 0.3333 0.8333

Tell me which of them is the most stable. Sure, it is model A.

Model A:
Density functional theory data (PBEsol) for crystalline TiZnBiO5 at its relaxed geometry.

Magnetic moment, μB/cell: 0.00
SG: Pbca, No. 61

Cell: 5.0853 15.3786 10.6542 Å, 90.00 90.00 90.00°
Fractional positions:
Ti 0.1030 0.1126 0.1546
Ti 0.1030 0.3874 0.6546
Ti 0.3970 0.6126 0.1546
Ti 0.3970 0.8874 0.6546
Ti 0.6030 0.1126 0.3454
Ti 0.6030 0.3874 0.8454
Ti 0.8970 0.6126 0.3454
Ti 0.8970 0.8874 0.8454
Zn 0.0256 0.5229 0.8689
Zn 0.0256 0.9771 0.3689
Zn 0.4744 0.0229 0.8689
Zn 0.4744 0.4771 0.3689
Zn 0.5256 0.5229 0.6311
Zn 0.5256 0.9771 0.1311
Zn 0.9744 0.0229 0.6311
Zn 0.9744 0.4771 0.1311
Bi 0.1777 0.2121 0.8617
Bi 0.1777 0.2879 0.3617
Bi 0.3223 0.7121 0.8617
Bi 0.3223 0.7879 0.3617
Bi 0.6777 0.2121 0.6383
Bi 0.6777 0.2879 0.1383
Bi 0.8223 0.7121 0.6383
Bi 0.8223 0.7879 0.1383
O 0.0269 0.1390 0.6945
O 0.0269 0.3610 0.1945
O 0.0660 0.6911 0.4634
O 0.0660 0.8089 0.9634
O 0.1271 0.6983 0.2140
O 0.1271 0.8017 0.7140
O 0.1914 0.5460 0.2927
O 0.1914 0.9540 0.7927
O 0.2114 0.5578 0.0340
O 0.2114 0.9422 0.5340
O 0.2886 0.0578 0.0340
O 0.2886 0.4422 0.5340
O 0.3086 0.0460 0.2927
O 0.3086 0.4540 0.7927
O 0.3729 0.1983 0.2140
O 0.3729 0.3017 0.7140
O 0.4340 0.1911 0.4634
O 0.4340 0.3089 0.9634
O 0.4731 0.6390 0.6945
O 0.4731 0.8610 0.1945
O 0.5269 0.1390 0.8055
O 0.5269 0.3610 0.3055
O 0.5660 0.6911 0.0366
O 0.5660 0.8089 0.5366
O 0.6271 0.6983 0.2860
O 0.6271 0.8017 0.7860
O 0.6914 0.5460 0.2073
O 0.6914 0.9540 0.7073
O 0.7114 0.5578 0.4660
O 0.7114 0.9422 0.9660
O 0.7886 0.0578 0.4660
O 0.7886 0.4422 0.9660
O 0.8086 0.0460 0.2073
O 0.8086 0.4540 0.7073
O 0.8729 0.1983 0.2860
O 0.8729 0.3017 0.7860
O 0.9340 0.1911 0.0366
O 0.9340 0.3089 0.5366
O 0.9731 0.6390 0.8055
O 0.9731 0.8610 0.3055

Model B:
Density functional theory data (PBEsol) for crystalline TiZnBiO5 at its relaxed geometry.

Magnetic moment, μB/cell: 0.00
SG: P2_1/c, No. 14

Cell: 5.1887 10.7991 8.4281 Å, 90.00 106.31 90.00°
Fractional positions:
Ti 0.1213 0.1174 0.4351
Ti 0.1213 0.3826 0.9351
Ti 0.8787 0.6174 0.0649
Ti 0.8787 0.8826 0.5649
Zn 0.4823 0.6094 0.3519
Zn 0.4823 0.8906 0.8519
Zn 0.5177 0.1094 0.1481
Zn 0.5177 0.3906 0.6481
Bi 0.0513 0.6047 0.6603
Bi 0.0513 0.8953 0.1603
Bi 0.9487 0.1047 0.8397
Bi 0.9487 0.3953 0.3397
O 0.1253 0.0473 0.6386
O 0.1253 0.4527 0.1386
O 0.1942 0.6978 0.1859
O 0.1942 0.8022 0.6859
O 0.2387 0.5348 0.4749
O 0.2387 0.9652 0.9749
O 0.2803 0.2299 0.9960
O 0.2803 0.2701 0.4960
O 0.3161 0.0480 0.3039
O 0.3161 0.4520 0.8039
O 0.6839 0.5480 0.1961
O 0.6839 0.9520 0.6961
O 0.7197 0.7299 0.5040
O 0.7197 0.7701 0.0040
O 0.7613 0.0348 0.0251
O 0.7613 0.4652 0.5251
O 0.8058 0.1978 0.3141
O 0.8058 0.3022 0.8141
O 0.8747 0.5473 0.8614
O 0.8747 0.9527 0.3614

Tell me which of them is the most stable. Sure, it is model A.

Model A:
Density functional theory data (PBEsol) for crystalline IrRh2Cl at its relaxed geometry.

Magnetic moment, μB/cell: 0.00
SG: Pmmm, No. 47

Cell: 2.7130 4.5618 4.6109 Å, 90.00 90.00 90.00°
Fractional positions:
Ir 0.0000 0.0000 0.0000
Rh 0.0000 0.5000 0.5000
Rh 0.5000 0.5000 0.0000
Cl 0.5000 0.0000 0.5000

Model B:
Density functional theory data (PBEsol) for crystalline IrRh2Cl at its relaxed geometry.

Magnetic moment, μB/cell: 0.00
SG: Pmmm, No. 47

Cell: 2.7648 3.4564 6.3944 Å, 90.00 90.00 90.00°
Fractional positions:
Ir 0.0000 0.0000 0.0000
Rh 0.5000 0.5000 0.2153
Rh 0.5000 0.5000 0.7847
Cl 0.5000 0.0000 0.5000

Tell me which of them is the most stable. Sure, it is model B.

Model A:
Density functional theory data (PBEsol) for crystalline CrAs2Cl at its relaxed geometry.

Magnetic moment, μB/cell: 16.32
SG: F-43m, No. 216

Cell: 6.5641 6.5641 6.5641 Å, 90.00 90.00 90.00°
Fractional positions:
Cr 0.0000 0.0000 0.0000
Cr 0.0000 0.5000 0.5000
Cr 0.5000 0.0000 0.5000
Cr 0.5000 0.5000 0.0000
As 0.0000 0.0000 0.5000
As 0.0000 0.5000 0.0000
As 0.2500 0.2500 0.7500
As 0.2500 0.7500 0.2500
As 0.5000 0.0000 0.0000
As 0.5000 0.5000 0.5000
As 0.7500 0.2500 0.2500
As 0.7500 0.7500 0.7500
Cl 0.2500 0.2500 0.2500
Cl 0.2500 0.7500 0.7500
Cl 0.7500 0.2500 0.7500
Cl 0.7500 0.7500 0.2500

Model B:
Density functional theory data (PBEsol) for crystalline CrAs2Cl at its relaxed geometry.

Magnetic moment, μB/cell: 3.40
SG: Cm, No. 8

Cell: 8.8714 2.8912 6.8316 Å, 90.00 103.85 90.00°
Fractional positions:
Cr 0.0000 0.0000 0.0000
Cr 0.5000 0.5000 0.0000
As 0.0919 0.5000 0.3252
As 0.2379 0.5000 0.0751
As 0.5919 0.0000 0.3252
As 0.7379 0.0000 0.0751
Cl 0.4034 0.0000 0.7417
Cl 0.9034 0.5000 0.7417

Tell me which of them is the most stable. Sure, it is model B.

Model A:
Density functional theory data (PBEsol) for crystalline Sr2CuHg at its relaxed geometry.

Magnetic moment, μB/cell: 0.00
SG: Amm2, No. 38

Cell: 4.6108 4.4450 11.6213 Å, 90.00 90.00 90.00°
Fractional positions:
Sr 0.0000 0.0000 0.0000
Sr 0.0000 0.5000 0.5000
Sr 0.5000 0.0000 0.2846
Sr 0.5000 0.5000 0.7846
Cu 0.0000 0.0000 0.7044
Cu 0.0000 0.5000 0.2044
Hg 0.5000 0.0000 0.5786
Hg 0.5000 0.5000 0.0786

Model B:
Density functional theory data (PBEsol) for crystalline Sr2CuHg at its relaxed geometry.

Magnetic moment, μB/cell: 0.00
SG: P4/mmm, No. 123

Cell: 3.8004 3.8004 7.7037 Å, 90.00 90.00 90.00°
Fractional positions:
Sr 0.0000 0.0000 0.2384
Sr 0.0000 0.0000 0.7616
Cu 0.5000 0.5000 0.0000
Hg 0.5000 0.5000 0.5000

Tell me which of them is the most stable. Sure, it is model A.

Model A:
Density functional theory data (PBEsol) for crystalline SrRe2Tc at its relaxed geometry.

Magnetic moment, μB/cell: 0.00
SG: C2/m, No. 12

Cell: 9.5128 3.0126 5.7364 Å, 90.00 104.17 90.00°
Fractional positions:
Sr 0.0000 0.0000 0.0000
Sr 0.5000 0.5000 0.0000
Re 0.2155 0.0000 0.6512
Re 0.2845 0.5000 0.3488
Re 0.7155 0.5000 0.6512
Re 0.7845 0.0000 0.3488
Tc 0.0000 0.5000 0.5000
Tc 0.5000 0.0000 0.5000

Model B:
Density functional theory data (PBEsol) for crystalline SrRe2Tc at its relaxed geometry.

Magnetic moment, μB/cell: 0.00
SG: P4/mmm, No. 123

Cell: 3.7747 3.7747 4.8734 Å, 90.00 90.00 90.00°
Fractional positions:
Sr 0.0000 0.0000 0.0000
Re 0.0000 0.5000 0.5000
Re 0.5000 0.0000 0.5000
Tc 0.5000 0.5000 0.0000

Tell me which of them is the most stable. Sure, it is model A.

Model A:
Density functional theory data (PBEsol) for crystalline AgAu3S at its relaxed geometry.

Magnetic moment, μB/cell: 0.00
SG: Pm-3m, No. 221

Cell: 4.6764 4.6764 4.6764 Å, 90.00 90.00 90.00°
Fractional positions:
Ag 0.0000 0.0000 0.0000
Au 0.0000 0.5000 0.5000
Au 0.5000 0.0000 0.5000
Au 0.5000 0.5000 0.0000
S 0.5000 0.5000 0.5000

Model B:
Density functional theory data (PBEsol) for crystalline AgAu3S at its relaxed geometry.

Magnetic moment, μB/cell: 0.00
SG: Pm-3m, No. 221

Cell: 4.9215 4.9215 4.9215 Å, 90.00 90.00 90.00°
Fractional positions:
Ag 0.0000 0.0000 0.0000
Au 0.0000 0.0000 0.5000
Au 0.0000 0.5000 0.0000
Au 0.5000 0.0000 0.0000
S 0.5000 0.5000 0.5000

Tell me which of them is the most stable. Sure, it is model A.

Model A:
Density functional theory data (PBEsol) for crystalline MgN2Cl at its relaxed geometry.

Magnetic moment, μB/cell: 0.00
SG: I-42d, No. 122

Cell: 4.4115 4.4115 10.7457 Å, 90.00 90.00 90.00°
Fractional positions:
Mg 0.0000 0.0000 0.0000
Mg 0.0000 0.5000 0.2500
Mg 0.5000 0.0000 0.7500
Mg 0.5000 0.5000 0.5000
N 0.2215 0.2500 0.6250
N 0.2500 0.7215 0.8750
N 0.2500 0.7785 0.3750
N 0.2785 0.2500 0.1250
N 0.7215 0.7500 0.1250
N 0.7500 0.2215 0.3750
N 0.7500 0.2785 0.8750
N 0.7785 0.7500 0.6250
Cl 0.0000 0.0000 0.5000
Cl 0.0000 0.5000 0.7500
Cl 0.5000 0.0000 0.2500
Cl 0.5000 0.5000 0.0000

Model B:
Density functional theory data (PBEsol) for crystalline MgN2Cl at its relaxed geometry.

Magnetic moment, μB/cell: 0.00
SG: R-3m, No. 166

Cell: 3.2337 3.2337 16.8539 Å, 90.00 90.00 120.00°
Fractional positions:
Mg 0.0000 0.0000 0.0000
Mg 0.3333 0.6667 0.6667
Mg 0.6667 0.3333 0.3333
N 0.0000 0.0000 0.3984
N 0.0000 0.0000 0.6016
N 0.3333 0.6667 0.0651
N 0.3333 0.6667 0.2682
N 0.6667 0.3333 0.7318
N 0.6667 0.3333 0.9349
Cl 0.0000 0.0000 0.5000
Cl 0.3333 0.6667 0.1667
Cl 0.6667 0.3333 0.8333

Tell me which of them is the most stable. Sure, it is model B.

Model A:
Density functional theory data (PBEsol) for crystalline CrHgPb at its relaxed geometry.

Magnetic moment, μB/cell: 16.77
SG: F-43m, No. 216

Cell: 6.6574 6.6574 6.6574 Å, 90.00 90.00 90.00°
Fractional positions:
Cr 0.0000 0.0000 0.0000
Cr 0.0000 0.5000 0.5000
Cr 0.5000 0.0000 0.5000
Cr 0.5000 0.5000 0.0000
Hg 0.2500 0.2500 0.2500
Hg 0.2500 0.7500 0.7500
Hg 0.7500 0.2500 0.7500
Hg 0.7500 0.7500 0.2500
Pb 0.0000 0.0000 0.5000
Pb 0.0000 0.5000 0.0000
Pb 0.5000 0.0000 0.0000
Pb 0.5000 0.5000 0.5000

Model B:
Density functional theory data (PBEsol) for crystalline CrHgPb at its relaxed geometry.

Magnetic moment, μB/cell: 3.93
SG: P3m1, No. 156

Cell: 4.7294 4.7294 3.4568 Å, 90.00 90.00 120.00°
Fractional positions:
Cr 0.0000 0.0000 0.0000
Hg 0.3333 0.6667 0.1598
Pb 0.6667 0.3333 0.5756

Tell me which of them is the most stable. Sure, it is model B.

Model A:
Density functional theory data (PBEsol) for crystalline CaOsPt2 at its relaxed geometry.

Magnetic moment, μB/cell: 7.80
SG: F-43m, No. 216

Cell: 6.4218 6.4218 6.4218 Å, 90.00 90.00 90.00°
Fractional positions:
Ca 0.0000 0.0000 0.0000
Ca 0.0000 0.5000 0.5000
Ca 0.5000 0.0000 0.5000
Ca 0.5000 0.5000 0.0000
Os 0.2500 0.2500 0.7500
Os 0.2500 0.7500 0.2500
Os 0.7500 0.2500 0.2500
Os 0.7500 0.7500 0.7500
Pt 0.0000 0.0000 0.5000
Pt 0.0000 0.5000 0.0000
Pt 0.2500 0.2500 0.2500
Pt 0.2500 0.7500 0.7500
Pt 0.5000 0.0000 0.0000
Pt 0.5000 0.5000 0.5000
Pt 0.7500 0.2500 0.7500
Pt 0.7500 0.7500 0.2500

Model B:
Density functional theory data (PBEsol) for crystalline CaOsPt2 at its relaxed geometry.

Magnetic moment, μB/cell: 0.00
SG: Imm2, No. 44

Cell: 2.7664 4.7246 10.2317 Å, 90.00 90.00 90.00°
Fractional positions:
Ca 0.0000 0.0000 0.0000
Ca 0.5000 0.5000 0.5000
Os 0.0000 0.5000 0.7759
Os 0.5000 0.0000 0.2759
Pt 0.0000 0.0000 0.4952
Pt 0.0000 0.5000 0.2307
Pt 0.5000 0.0000 0.7307
Pt 0.5000 0.5000 0.9952

Tell me which of them is the most stable. Sure, it is model B.

Model A:
Density functional theory data (PBEsol) for crystalline MgSb2P at its relaxed geometry.

Magnetic moment, μB/cell: 0.00
SG: Cm, No. 8

Cell: 11.3767 3.4323 5.1268 Å, 90.00 116.66 90.00°
Fractional positions:
Mg 0.0000 0.0000 0.0000
Mg 0.5000 0.5000 0.0000
Sb 0.0776 0.5000 0.5850
Sb 0.2979 0.5000 0.3049
Sb 0.5776 0.0000 0.5850
Sb 0.7979 0.0000 0.3049
P 0.2945 0.0000 0.8936
P 0.7945 0.5000 0.8936

Model B:
Density functional theory data (PBEsol) for crystalline MgSb2P at its relaxed geometry.

Magnetic moment, μB/cell: 0.00
SG: R-3m, No. 166

Cell: 3.8230 3.8230 22.1640 Å, 90.00 90.00 120.00°
Fractional positions:
Mg 0.0000 0.0000 0.0000
Mg 0.3333 0.6667 0.6667
Mg 0.6667 0.3333 0.3333
Sb 0.0000 0.0000 0.2408
Sb 0.0000 0.0000 0.7592
Sb 0.3333 0.6667 0.4259
Sb 0.3333 0.6667 0.9075
Sb 0.6667 0.3333 0.0925
Sb 0.6667 0.3333 0.5741
P 0.0000 0.0000 0.5000
P 0.3333 0.6667 0.1667
P 0.6667 0.3333 0.8333

Tell me which of them is the most stable. Sure, it is model B.